A relaxed structure of LaTmB4, computed with PBE.

The polymorph energy (0 for the lowest one) comes out at 0.00 eV/f.u. As for the total magnetization: 0.01 μB per formula unit. As for the symmetry: P6/mmm.

Cell lengths 3.2679, 3.2679, 8.1593 Å; angles 90.00, 90.00, 120.00 degrees
Atoms (fractional coordinates):
La (0.0000, 0.0000, 0.0000)
Tm (0.0000, 0.0000, 0.5000)
B (0.3333, 0.6667, 0.2726)
B (0.3333, 0.6667, 0.7274)
B (0.6667, 0.3333, 0.2726)
B (0.6667, 0.3333, 0.7274)

***

A relaxed structure of ReN, computed with PBE.

The polymorph energy (0 for the lowest one) comes out at 2.00 eV/f.u. As for the total magnetization: 0.00 μB per formula unit. As for the symmetry: Fm-3m.

Cell lengths 4.3374, 4.3374, 4.3374 Å; angles 90.00, 90.00, 90.00 degrees
Atoms (fractional coordinates):
Re (0.0000, 0.0000, 0.0000)
Re (0.0000, 0.5000, 0.5000)
Re (0.5000, 0.0000, 0.5000)
Re (0.5000, 0.5000, 0.0000)
N (0.0000, 0.0000, 0.5000)
N (0.0000, 0.5000, 0.0000)
N (0.5000, 0.0000, 0.0000)
N (0.5000, 0.5000, 0.5000)

***

A relaxed structure of Ta4TlGaN2, computed with PBE.

As for the total magnetization: 0.00 μB per formula unit. As for the symmetry: P-6m2.

Cell lengths 3.0131, 3.0131, 14.9051 Å; angles 90.00, 90.00, 120.00 degrees
Atoms (fractional coordinates):
Ta (0.0000, 0.0000, 0.1479)
Ta (0.0000, 0.0000, 0.8521)
Ta (0.6667, 0.3333, 0.3314)
Ta (0.6667, 0.3333, 0.6686)
Tl (0.0000, 0.0000, 0.5000)
Ga (0.6667, 0.3333, 0.0000)
N (0.3333, 0.6667, 0.2395)
N (0.3333, 0.6667, 0.7605)

***

A relaxed structure of GdHgMo, computed with PBE.

The polymorph energy (0 for the lowest one) comes out at 0.00 eV/f.u. As for the total magnetization: 2.42 μB per formula unit. As for the symmetry: F-43m.

Cell lengths 6.7958, 6.7958, 6.7958 Å; angles 90.00, 90.00, 90.00 degrees
Atoms (fractional coordinates):
Gd (0.0000, 0.0000, 0.0000)
Gd (0.0000, 0.5000, 0.5000)
Gd (0.5000, 0.0000, 0.5000)
Gd (0.5000, 0.5000, 0.0000)
Hg (0.2500, 0.2500, 0.2500)
Hg (0.2500, 0.7500, 0.7500)
Hg (0.7500, 0.2500, 0.7500)
Hg (0.7500, 0.7500, 0.2500)
Mo (0.0000, 0.0000, 0.5000)
Mo (0.0000, 0.5000, 0.0000)
Mo (0.5000, 0.0000, 0.0000)
Mo (0.5000, 0.5000, 0.5000)

***

A relaxed structure of HoScCd, computed with PBE.

The polymorph energy (0 for the lowest one) comes out at 0.00 eV/f.u. As for the total magnetization: 0.01 μB per formula unit. As for the symmetry: F-43m.

Cell lengths 6.9603, 6.9603, 6.9603 Å; angles 90.00, 90.00, 90.00 degrees
Atoms (fractional coordinates):
Ho (0.0000, 0.0000, 0.0000)
Ho (0.0000, 0.5000, 0.5000)
Ho (0.5000, 0.0000, 0.5000)
Ho (0.5000, 0.5000, 0.0000)
Sc (0.2500, 0.2500, 0.7500)
Sc (0.2500, 0.7500, 0.2500)
Sc (0.7500, 0.2500, 0.2500)
Sc (0.7500, 0.7500, 0.7500)
Cd (0.0000, 0.0000, 0.5000)
Cd (0.0000, 0.5000, 0.0000)
Cd (0.5000, 0.0000, 0.0000)
Cd (0.5000, 0.5000, 0.5000)

***

A relaxed structure of TbTmCo2Ge2C, computed with PBE.

As for the total magnetization: 0.02 μB per formula unit. As for the symmetry: Cm.

Cell lengths 10.6844, 3.9056, 6.8133 Å; angles 90.00, 128.27, 90.00 degrees
Atoms (fractional coordinates):
Tb (0.0000, 0.0000, 0.0000)
Tb (0.5000, 0.5000, 0.0000)
Tm (0.1180, 0.0000, 0.5823)
Tm (0.6180, 0.5000, 0.5823)
Co (0.2523, 0.5000, 0.3751)
Co (0.3680, 0.0000, 0.2113)
Co (0.7523, 0.0000, 0.3751)
Co (0.8680, 0.5000, 0.2113)
Ge (0.2200, 0.5000, 0.9912)
Ge (0.3981, 0.0000, 0.5909)
Ge (0.7200, 0.0000, 0.9912)
Ge (0.8981, 0.5000, 0.5909)
C (0.0614, 0.5000, 0.2979)
C (0.5614, 0.0000, 0.2979)

***

A relaxed structure of RbDySO, computed with PBE.

The polymorph energy (0 for the lowest one) comes out at 0.00 eV/f.u. As for the total magnetization: 0.00 μB per formula unit. As for the symmetry: P2_1/c.

Cell lengths 7.8390, 7.3388, 6.5203 Å; angles 90.00, 104.38, 90.00 degrees
Atoms (fractional coordinates):
Rb (0.0805, 0.2429, 0.0071)
Rb (0.0805, 0.2571, 0.5071)
Rb (0.9195, 0.7429, 0.4929)
Rb (0.9195, 0.7571, 0.9929)
Dy (0.4771, 0.6273, 0.2729)
Dy (0.4771, 0.8727, 0.7729)
Dy (0.5229, 0.1273, 0.2271)
Dy (0.5229, 0.3727, 0.7271)
S (0.2620, 0.5934, 0.8509)
S (0.2620, 0.9066, 0.3509)
S (0.7380, 0.0934, 0.6491)
S (0.7380, 0.4066, 0.1491)
O (0.3964, 0.1457, 0.8777)
O (0.3964, 0.3543, 0.3777)
O (0.6036, 0.6457, 0.6223)
O (0.6036, 0.8543, 0.1223)

***

A relaxed structure of PrZrPO, computed with PBE.

The polymorph energy (0 for the lowest one) comes out at 0.00 eV/f.u. As for the total magnetization: 0.02 μB per formula unit. As for the symmetry: P4/nmm.

Cell lengths 4.2390, 4.2390, 8.8901 Å; angles 90.00, 90.00, 90.00 degrees
Atoms (fractional coordinates):
Pr (0.2500, 0.2500, 0.1245)
Pr (0.7500, 0.7500, 0.8755)
Zr (0.2500, 0.7500, 0.5000)
Zr (0.7500, 0.2500, 0.5000)
P (0.2500, 0.2500, 0.6756)
P (0.7500, 0.7500, 0.3244)
O (0.2500, 0.7500, 0.0000)
O (0.7500, 0.2500, 0.0000)

***

A relaxed structure of MgTaCdCo, computed with PBE.

The polymorph energy (0 for the lowest one) comes out at 0.00 eV/f.u. As for the total magnetization: 0.00 μB per formula unit. As for the symmetry: F-43m.

Cell lengths 6.3284, 6.3284, 6.3284 Å; angles 90.00, 90.00, 90.00 degrees
Atoms (fractional coordinates):
Mg (0.0000, 0.0000, 0.0000)
Mg (0.0000, 0.5000, 0.5000)
Mg (0.5000, 0.0000, 0.5000)
Mg (0.5000, 0.5000, 0.0000)
Ta (0.2500, 0.2500, 0.2500)
Ta (0.2500, 0.7500, 0.7500)
Ta (0.7500, 0.2500, 0.7500)
Ta (0.7500, 0.7500, 0.2500)
Cd (0.2500, 0.2500, 0.7500)
Cd (0.2500, 0.7500, 0.2500)
Cd (0.7500, 0.2500, 0.2500)
Cd (0.7500, 0.7500, 0.7500)
Co (0.0000, 0.0000, 0.5000)
Co (0.0000, 0.5000, 0.0000)
Co (0.5000, 0.0000, 0.0000)
Co (0.5000, 0.5000, 0.5000)

***

A relaxed structure of Sr2InPd4Pb, computed with PBE.

As for the symmetry: Amm2.

Cell lengths 5.4889, 4.7129, 23.2607 Å; angles 90.00, 90.00, 90.00 degrees
Atoms (fractional coordinates):
Sr (0.0000, 0.0000, 0.0000)
Sr (0.0000, 0.0000, 0.1971)
Sr (0.0000, 0.5000, 0.5000)
Sr (0.0000, 0.5000, 0.6971)
In (0.0000, 0.0000, 0.7920)
In (0.0000, 0.5000, 0.2920)
Pd (0.2649, 0.0000, 0.0999)
Pd (0.2649, 0.5000, 0.5999)
Pd (0.2675, 0.0000, 0.8882)
Pd (0.2675, 0.5000, 0.3882)
Pd (0.7325, 0.0000, 0.8882)
Pd (0.7325, 0.5000, 0.3882)
Pd (0.7351, 0.0000, 0.0999)
Pd (0.7351, 0.5000, 0.5999)
Pb (0.0000, 0.0000, 0.3852)
Pb (0.0000, 0.5000, 0.8852)

***

A relaxed structure of SrFeCuSe3, computed with PBE.

The polymorph energy (0 for the lowest one) comes out at 0.00 eV/f.u. As for the total magnetization: 4.52 μB per formula unit. As for the symmetry: P2_1/m.

Cell lengths 8.0197, 3.9225, 8.8867 Å; angles 90.00, 106.78, 90.00 degrees
Atoms (fractional coordinates):
Sr (0.2024, 0.2500, 0.2448)
Sr (0.7976, 0.7500, 0.7552)
Fe (0.3253, 0.7500, 0.8436)
Fe (0.6747, 0.2500, 0.1564)
Cu (0.0816, 0.2500, 0.5897)
Cu (0.9184, 0.7500, 0.4103)
Se (0.1139, 0.2500, 0.8697)
Se (0.2453, 0.7500, 0.5391)
Se (0.4523, 0.7500, 0.1474)
Se (0.5477, 0.2500, 0.8526)
Se (0.7547, 0.2500, 0.4609)
Se (0.8861, 0.7500, 0.1303)

***

A relaxed structure of FeGeB4, computed with PBE.

The polymorph energy (0 for the lowest one) comes out at 0.00 eV/f.u. As for the total magnetization: 1.98 μB per formula unit. As for the symmetry: P6/mmm.

Cell lengths 3.0257, 3.0257, 6.7196 Å; angles 90.00, 90.00, 120.00 degrees
Atoms (fractional coordinates):
Fe (0.0000, 0.0000, 0.0000)
Ge (0.0000, 0.0000, 0.5000)
B (0.3333, 0.6667, 0.2185)
B (0.3333, 0.6667, 0.7815)
B (0.6667, 0.3333, 0.2185)
B (0.6667, 0.3333, 0.7815)

***

A relaxed structure of RbHoAs, computed with PBE.

As for the total magnetization: 0.02 μB per formula unit. As for the symmetry: F-43m.

Cell lengths 7.3081, 7.3081, 7.3081 Å; angles 90.00, 90.00, 90.00 degrees
Atoms (fractional coordinates):
Rb (0.0000, 0.0000, 0.0000)
Rb (0.0000, 0.5000, 0.5000)
Rb (0.5000, 0.0000, 0.5000)
Rb (0.5000, 0.5000, 0.0000)
Ho (0.0000, 0.0000, 0.5000)
Ho (0.0000, 0.5000, 0.0000)
Ho (0.5000, 0.0000, 0.0000)
Ho (0.5000, 0.5000, 0.5000)
As (0.2500, 0.2500, 0.7500)
As (0.2500, 0.7500, 0.2500)
As (0.7500, 0.2500, 0.2500)
As (0.7500, 0.7500, 0.7500)

***

Record order is preserved below.
Final energy: -38.8, -74.5, -72.8, -54.1, -41.6, -92.2, -95.1, -63.3, -82.1, -57.1, -56.8, -38.1, -42.9 eV for the cell shown